A plane-wave DFT calculation with GGA+U was carried out for a relaxed structure of AlCrO3.

Cell and atoms, written as CIF:
```
data_AlCrO3
_chemical_formula_sum 'Al4 Cr4 O12'
_symmetry_space_group_name_H-M 'P n m a'
_symmetry_Int_Tables_number 62
_cell_length_a 5.0455
_cell_length_b 7.5825
_cell_length_c 5.0143
_cell_angle_alpha 90.00
_cell_angle_beta 90.00
_cell_angle_gamma 90.00
loop_
_symmetry_equiv_pos_as_xyz
'x,y,z'
'-x,-y,-z'
'-x+1/2,-y,z+1/2'
'x+1/2,y,-z+1/2'
'x+1/2,-y+1/2,-z+1/2'
'-x+1/2,y+1/2,z+1/2'
'-x,y+1/2,-z'
'x,-y+1/2,z'
loop_
_atom_site_label
_atom_site_type_symbol
_atom_site_fract_x
_atom_site_fract_y
_atom_site_fract_z
Al1 Al 0.0221 0.2500 0.0113
Cr1 Cr 0.0000 0.0000 0.5000
O1 O 0.1232 0.7500 0.6425
O2 O 0.1630 0.5794 0.1600
```

Results
Fermi-level density of states = 0.00 states/eV/cell
VASP energy = -7.54 eV per atom